[1]
Pm2Ga3Ir: optimized geometry, GGA-PBE.

Results
* E_form: -694.1 meV/atom
* DFT total energy: -5.2679 eV/atom
* calculated volume: 21.52 A^3/atom

Cell lengths 5.851, 5.851, 8.899 Å; angles 112.91, 112.91, 79.40 degrees
Sites, in units of the cell vectors:
Pm 0.260 0.740 0.000
Ga 0.336 0.336 0.168
Ga 0.829 0.829 0.658
Ir 0.662 0.662 0.324
Pm 0.740 0.260 0.000
Ga 0.832 0.832 0.168
Pm 0.250 0.750 0.500
Pm 0.750 0.250 0.500
Ga 0.171 0.171 0.342
Ga 0.664 0.664 0.832
Ga 0.168 0.168 0.832
Ir 0.338 0.338 0.676



[2]
PmGa5Ir: optimized geometry, GGA-PBE.

Results
* E_form: -564.4 meV/atom
* DFT total energy: -4.6710 eV/atom
* calculated volume: 19.14 A^3/atom

Cell lengths 4.379, 4.379, 6.989 Å; angles 90.00, 90.00, 90.00 degrees
Sites, in units of the cell vectors:
Pm 0.000 0.000 0.000
Ga 0.000 0.500 0.694
Ga 0.500 0.000 0.306
Ga 0.500 0.500 0.000
Ir 0.000 0.000 0.500
Ga 0.500 0.000 0.694
Ga 0.000 0.500 0.306



[3]
PmGa3Ir2: optimized geometry, GGA-PBE.

Results
* E_form: -635.7 meV/atom
* DFT total energy: -5.8946 eV/atom
* calculated volume: 18.11 A^3/atom

Cell lengths 4.055, 8.411, 10.233 Å; angles 105.34, 90.00, 103.95 degrees
Sites, in units of the cell vectors:
Ga 0.642 0.284 0.179
Ir 0.208 0.417 0.075
Ga 0.639 0.278 0.930
Pm 0.140 0.280 0.706
Ga 0.358 0.716 0.821
Ir 0.332 0.665 0.556
Pm 0.000 0.000 0.000
Ga 0.774 0.549 0.669
Ir 0.500 0.999 0.756
Ga 0.226 0.451 0.331
Ga 0.066 0.133 0.377
Ir 0.792 0.583 0.925
Ga 0.934 0.867 0.623
Ir 0.500 0.001 0.244
Ga 0.361 0.722 0.070
Pm 0.860 0.720 0.294
Ir 0.668 0.335 0.444
Ga 0.500 0.000 0.500



[4]
Pm12GaIr7: optimized geometry, GGA-PBE.

Results
* E_form: -529.4 meV/atom
* DFT total energy: -6.6324 eV/atom
* calculated volume: 28.72 A^3/atom

Cell lengths 9.188, 9.188, 9.188 Å; angles 110.45, 110.45, 110.45 degrees
Sites, in units of the cell vectors:
Pm 0.118 0.317 0.397
Ir 0.059 0.730 0.963
Ir 0.037 0.941 0.270
Ir 0.500 0.500 0.500
Pm 0.891 0.343 0.748
Pm 0.657 0.252 0.109
Pm 0.603 0.882 0.683
Pm 0.683 0.603 0.882
Pm 0.397 0.118 0.317
Pm 0.252 0.109 0.657
Ir 0.963 0.059 0.730
Ir 0.941 0.270 0.037
Pm 0.109 0.657 0.252
Pm 0.748 0.891 0.343
Ir 0.730 0.963 0.059
Pm 0.317 0.397 0.118
Ir 0.270 0.037 0.941
Pm 0.343 0.748 0.891
Ga 0.000 0.000 0.000
Pm 0.882 0.683 0.603



[5]
PmGa2Ir: optimized geometry, GGA-PBE.

Results
* E_form: -379.8 meV/atom
* DFT total energy: -5.2961 eV/atom
* calculated volume: 19.47 A^3/atom

Cell lengths 4.576, 4.125, 4.125 Å; angles 90.00, 90.00, 90.00 degrees
Sites, in units of the cell vectors:
Ga 0.000 0.000 0.500
Pm 0.500 0.000 0.000
Ir 0.500 0.500 0.500
Ga 0.000 0.500 0.000



[6]
Pm2Ga9Ir6: optimized geometry, GGA-PBE.

Results
* E_form: -402.6 meV/atom
* DFT total energy: -5.6914 eV/atom
* calculated volume: 18.85 A^3/atom

Cell lengths 5.508, 5.508, 12.197 Å; angles 90.00, 90.00, 120.00 degrees
Sites, in units of the cell vectors:
Ir 0.333 0.667 0.000
Ga 0.500 0.500 0.500
Ga 0.000 0.500 0.500
Ir 0.667 0.333 0.328
Ga 0.500 0.000 0.839
Ga 0.500 0.000 0.500
Ir 0.667 0.333 0.672
Ir 0.333 0.667 0.672
Ga 0.500 0.000 0.161
Pm 0.000 0.000 0.337
Ir 0.667 0.333 0.000
Ga 0.000 0.500 0.839
Ga 0.000 0.500 0.161
Ir 0.333 0.667 0.328
Ga 0.500 0.500 0.839
Pm 0.000 0.000 0.663
Ga 0.500 0.500 0.161



[7]
Pm8GaIr2: optimized geometry, GGA-PBE.

Results
* E_form: -325.6 meV/atom
* DFT total energy: -5.6669 eV/atom
* calculated volume: 29.55 A^3/atom

Cell lengths 5.914, 7.821, 7.821 Å; angles 112.96, 96.95, 96.95 degrees
Sites, in units of the cell vectors:
Pm 0.204 0.380 0.380
Pm 0.375 0.668 0.934
Ir 0.496 0.688 0.315
Pm 0.994 0.239 0.760
Pm 0.375 0.934 0.668
Ga 0.074 0.007 0.007
Pm 0.994 0.760 0.239
Ir 0.496 0.315 0.688
Pm 0.599 0.069 0.332
Pm 0.795 0.642 0.642
Pm 0.599 0.332 0.069



[8]
PmGa4Ir2: optimized geometry, GGA-PBE.

Results
* E_form: -632.3 meV/atom
* DFT total energy: -5.5723 eV/atom
* calculated volume: 17.77 A^3/atom

Cell lengths 4.345, 6.618, 17.297 Å; angles 90.00, 90.00, 90.00 degrees
Sites, in units of the cell vectors:
Ir 0.250 0.757 0.537
Ga 0.750 0.511 0.568
Ga 0.250 0.344 0.035
Ga 0.750 0.844 0.465
Ga 0.250 0.290 0.689
Ga 0.250 0.210 0.189
Ir 0.750 0.257 0.963
Ga 0.250 0.489 0.432
Ir 0.250 0.993 0.786
Ga 0.750 0.303 0.313
Ga 0.250 0.156 0.535
Pm 0.250 0.498 0.860
Ga 0.750 0.790 0.811
Pm 0.750 0.502 0.140
Ga 0.250 0.803 0.187
Pm 0.250 0.002 0.360
Ga 0.750 0.989 0.068
Ir 0.250 0.507 0.286
Ir 0.750 0.243 0.463
Pm 0.750 0.998 0.640
Ga 0.750 0.656 0.965
Ir 0.750 0.007 0.214
Ga 0.250 0.011 0.932
Ir 0.250 0.743 0.037
Ga 0.250 0.697 0.687
Ir 0.750 0.493 0.714
Ga 0.750 0.710 0.311
Ga 0.750 0.197 0.813



[9]
PmGa6Ir3: optimized geometry, GGA-PBE.

Results
* E_form: -529.4 meV/atom
* DFT total energy: -5.4789 eV/atom
* calculated volume: 17.65 A^3/atom

Cell lengths 4.263, 8.544, 9.725 Å; angles 85.43, 90.00, 90.00 degrees
Sites, in units of the cell vectors:
Pm 0.250 0.948 0.289
Pm 0.750 0.052 0.711
Ir 0.250 0.267 0.490
Ga 0.250 0.567 0.425
Ir 0.750 0.378 0.851
Ga 0.250 0.540 0.908
Ir 0.250 0.840 0.878
Ir 0.750 0.733 0.510
Ga 0.250 0.828 0.611
Ga 0.750 0.875 0.028
Ga 0.750 0.172 0.389
Ir 0.250 0.622 0.149
Ga 0.250 0.306 0.739
Ga 0.750 0.681 0.776
Ir 0.750 0.160 0.122
Ga 0.750 0.433 0.575
Ga 0.250 0.125 0.972
Ga 0.750 0.460 0.092
Ga 0.750 0.694 0.261
Ga 0.250 0.319 0.224



[10]
Pm2GaIr: optimized geometry, GGA-PBE.

Results
* E_form: -591.4 meV/atom
* DFT total energy: -5.9387 eV/atom
* calculated volume: 23.36 A^3/atom

Cell lengths 3.644, 3.644, 7.037 Å; angles 90.00, 90.00, 90.00 degrees
Sites, in units of the cell vectors:
Pm 0.000 0.000 0.234
Pm 0.000 0.000 0.766
Ir 0.500 0.500 0.000
Ga 0.500 0.500 0.500



[11]
PmGa4Ir3: optimized geometry, GGA-PBE.

Results
* E_form: -532.1 meV/atom
* DFT total energy: -5.9623 eV/atom
* calculated volume: 18.51 A^3/atom

Cell lengths 4.193, 4.193, 8.419 Å; angles 90.00, 90.00, 90.00 degrees
Sites, in units of the cell vectors:
Ga 0.000 0.500 0.824
Ga 0.500 0.000 0.824
Ga 0.500 0.000 0.176
Ir 0.500 0.500 0.350
Pm 0.000 0.000 0.500
Ir 0.000 0.000 0.000
Ga 0.000 0.500 0.176
Ir 0.500 0.500 0.650



[12]
Pm2GaIr: optimized geometry, GGA-PBE.

Results
* E_form: -678.3 meV/atom
* DFT total energy: -6.0256 eV/atom
* calculated volume: 24.36 A^3/atom

Cell lengths 4.342, 5.944, 8.258 Å; angles 113.87, 90.00, 90.00 degrees
Sites, in units of the cell vectors:
Ga 0.750 0.658 0.790
Pm 0.750 0.231 0.913
Pm 0.250 0.769 0.087
Ga 0.250 0.342 0.210
Ir 0.250 0.363 0.717
Pm 0.250 0.789 0.562
Ir 0.750 0.637 0.283
Pm 0.750 0.211 0.438



[13]
Pm2Ga12Ir: optimized geometry, GGA-PBE.

Results
* E_form: -427.6 meV/atom
* DFT total energy: -4.0732 eV/atom
* calculated volume: 19.48 A^3/atom

Cell lengths 6.117, 6.117, 15.621 Å; angles 90.00, 90.00, 90.00 degrees
Sites, in units of the cell vectors:
Ga 0.500 0.500 0.653
Pm 0.000 0.500 0.239
Ga 0.250 0.250 0.913
Ga 0.500 0.500 0.810
Ga 0.750 0.250 0.087
Pm 0.500 0.000 0.761
Pm 0.500 0.000 0.239
Ga 0.332 0.168 0.569
Ga 0.168 0.332 0.431
Ga 0.332 0.832 0.431
Ga 0.500 0.500 0.190
Ga 0.250 0.750 0.087
Ga 0.832 0.332 0.569
Ga 0.250 0.750 0.913
Ir 0.000 0.500 0.000
Ga 0.668 0.832 0.569
Pm 0.000 0.500 0.761
Ga 0.832 0.668 0.431
Ga 0.500 0.500 0.347
Ga 0.168 0.668 0.569
Ga 0.000 0.000 0.810
Ga 0.000 0.000 0.653
Ga 0.000 0.000 0.190
Ga 0.750 0.750 0.913
Ga 0.668 0.168 0.431
Ir 0.500 0.000 0.000
Ga 0.750 0.750 0.087
Ga 0.250 0.250 0.087
Ga 0.750 0.250 0.913
Ga 0.000 0.000 0.347



[14]
Pm7Ga2Ir: optimized geometry, GGA-PBE.

Results
* E_form: 250.0 meV/atom
* DFT total energy: -4.5669 eV/atom
* calculated volume: 34.03 A^3/atom

Cell lengths 7.837, 7.837, 7.837 Å; angles 60.00, 60.00, 60.00 degrees
Sites, in units of the cell vectors:
Pm 0.244 0.244 0.756
Ir 0.000 0.000 0.000
Ga 0.750 0.750 0.750
Pm 0.756 0.244 0.244
Pm 0.244 0.756 0.244
Ga 0.250 0.250 0.250
Pm 0.756 0.244 0.756
Pm 0.756 0.756 0.244
Pm 0.244 0.756 0.756
Pm 0.500 0.500 0.500



[15]
PmGa2Ir2: optimized geometry, GGA-PBE.

Results
* E_form: -704.2 meV/atom
* DFT total energy: -6.4094 eV/atom
* calculated volume: 18.56 A^3/atom

Cell lengths 4.278, 4.278, 5.904 Å; angles 111.24, 111.24, 90.00 degrees
Sites, in units of the cell vectors:
Ir 0.750 0.250 0.500
Ir 0.250 0.750 0.500
Ga 0.625 0.625 0.250
Pm 0.000 0.000 0.000
Ga 0.375 0.375 0.750



[16]
Pm3GaIr8: optimized geometry, GGA-PBE.

Results
* E_form: -517.4 meV/atom
* DFT total energy: -7.8646 eV/atom
* calculated volume: 18.39 A^3/atom

Cell lengths 5.394, 5.394, 9.295 Å; angles 73.13, 73.13, 60.00 degrees
Sites, in units of the cell vectors:
Ga 0.136 0.136 0.591
Ir 0.810 0.810 0.570
Ir 0.561 0.561 0.815
Ir 0.561 0.063 0.815
Ir 0.311 0.311 0.068
Ir 0.061 0.561 0.318
Ir 0.063 0.561 0.815
Ir 0.061 0.061 0.318
Ir 0.561 0.061 0.318
Pm 0.007 0.007 0.978
Pm 0.495 0.495 0.515
Pm 0.624 0.624 0.129



[17]
Pm2Ga4Ir3: optimized geometry, GGA-PBE.

Results
* E_form: -710.7 meV/atom
* DFT total energy: -6.0653 eV/atom
* calculated volume: 18.48 A^3/atom

Cell lengths 5.914, 7.483, 8.077 Å; angles 90.00, 111.48, 90.00 degrees
Sites, in units of the cell vectors:
Ir 0.525 0.750 0.550
Ga 0.804 0.250 0.108
Ga 0.304 0.250 0.108
Ga 0.822 0.020 0.645
Ga 0.696 0.750 0.892
Pm 0.380 0.086 0.760
Ir 0.025 0.750 0.550
Pm 0.880 0.414 0.760
Ir 0.500 0.500 0.000
Ir 0.975 0.250 0.450
Pm 0.620 0.914 0.240
Ga 0.196 0.750 0.892
Pm 0.120 0.586 0.240
Ga 0.178 0.980 0.355
Ga 0.322 0.480 0.645
Ir 0.000 0.000 0.000
Ga 0.678 0.520 0.355
Ir 0.475 0.250 0.450



[18]
Pm2Ga5Ir3: optimized geometry, GGA-PBE.

Results
* E_form: -750.3 meV/atom
* DFT total energy: -5.8722 eV/atom
* calculated volume: 18.66 A^3/atom

Cell lengths 5.791, 8.644, 8.644 Å; angles 71.15, 70.43, 70.43 degrees
Sites, in units of the cell vectors:
Ir 0.149 0.257 0.444
Ga 0.955 0.795 0.795
Ga 0.750 0.500 0.500
Ga 0.045 0.205 0.205
Ga 0.411 0.262 0.916
Pm 0.638 0.133 0.590
Pm 0.362 0.867 0.410
Ir 0.351 0.556 0.743
Ga 0.589 0.738 0.084
Ir 0.649 0.444 0.257
Ir 0.750 0.000 0.000
Ga 0.250 0.500 0.500
Pm 0.138 0.590 0.133
Ga 0.089 0.084 0.738
Ga 0.545 0.205 0.205
Ir 0.851 0.743 0.556
Ga 0.911 0.916 0.262
Ir 0.250 0.000 0.000
Ga 0.455 0.795 0.795
Pm 0.862 0.410 0.867



[19]
Pm6Ga2Ir: optimized geometry, GGA-PBE.

Results
* E_form: -382.7 meV/atom
* DFT total energy: -5.2069 eV/atom
* calculated volume: 28.83 A^3/atom

Cell lengths 6.037, 8.631, 9.985 Å; angles 90.00, 86.00, 90.00 degrees
Sites, in units of the cell vectors:
Pm 0.392 0.819 0.056
Ga 0.921 0.374 0.752
Pm 0.398 0.528 0.735
Pm 0.402 0.831 0.439
Pm 0.102 0.028 0.765
Pm 0.608 0.181 0.944
Pm 0.892 0.681 0.556
Pm 0.902 0.669 0.939
Pm 0.602 0.472 0.265
Ga 0.079 0.626 0.248
Ir 0.000 0.000 0.500
Ga 0.421 0.126 0.252
Ga 0.579 0.874 0.748
Pm 0.898 0.972 0.235
Pm 0.108 0.319 0.444
Pm 0.098 0.331 0.061
Ir 0.500 0.500 0.000
Pm 0.598 0.169 0.561